Density functional theory data (PBE-GGA) for a geometry-optimized TbNd3Tm2Te6 structure.

Cell: 19.4049 4.3501 8.9573 Å, 90.00 105.38 90.00°
Last column: nearest neighbours and their distance in Å.
Space group C2/m (No. 12)
Symmetry-distinct sites (fractional):
Tb 0.0000 0.0000 0.0000 x2  6 Te 3.08-3.10
Nd 0.0000 0.0000 0.5000 x2  6 Te 3.17-3.21
Nd 0.1638 0.5000 0.8318 x4  6 Te 3.16-3.21
Tm 0.1653 0.5000 0.3307 x4  6 Te 3.00-3.06
Te 0.0047 0.5000 0.2454 x4  1 Tm 3.00, 2 Tb 3.08, 3 Nd 3.16-3.17
Te 0.1658 0.0000 0.0938 x4  2 Tm 3.04, 1 Tb 3.10, 3 Nd 3.19-3.20
Te 0.1712 0.0000 0.5734 x4  3 Tm 3.06, 3 Nd 3.21

Properties
Final energy in eV per atom: -5.2214